AcEu3: relaxed, PBE.

formation enthalpy at 0 K: 0.026 eV per atom

Unit cell a=7.8721 b=7.8721 c=6.3748 alpha=90.00 beta=90.00 gamma=120.00
Last column: nearest neighbours and their distance in Å.
Atoms (fractional coordinates):
Ac: 0.3333 0.6667 0.7500  12 Eu 3.92-3.94
Ac: 0.6667 0.3333 0.2500  12 Eu 3.92-3.94
Eu: 0.1663 0.3327 0.2500  8 Eu 3.91-3.94, 4 Ac 3.92-3.94
Eu: 0.6673 0.8337 0.2500  8 Eu 3.91-3.94, 4 Ac 3.92-3.94
Eu: 0.1663 0.8337 0.2500  8 Eu 3.91-3.94, 4 Ac 3.92-3.94
Eu: 0.8337 0.6673 0.7500  8 Eu 3.91-3.94, 4 Ac 3.92-3.94
Eu: 0.3327 0.1663 0.7500  8 Eu 3.91-3.94, 4 Ac 3.92-3.94
Eu: 0.8337 0.1663 0.7500  8 Eu 3.91-3.94, 4 Ac 3.92-3.94

***

AgWSe: relaxed, PBE.

energy above the lowest structure with this stoichiometry: 144.5 meV/atom

Unit cell a=6.8771 b=6.8771 c=6.8771 alpha=154.70 beta=154.70 gamma=36.08
Last column: nearest neighbours and their distance in Å.
Atoms (fractional coordinates):
Ag: 0.0273 0.0273 0.0000  4 W 2.91, 4 Ag 3.01
Se: 0.2937 0.2937 0.0000  4 W 2.61
W: 0.6790 0.6790 0.0000  4 Se 2.61, 4 Ag 2.91

***

ScCrCl: relaxed, PBE.

energy above the lowest structure with this stoichiometry: 105.6 meV/atom

Unit cell a=6.8723 b=6.6427 c=3.1772 alpha=80.47 beta=72.41 gamma=27.12
Last column: nearest neighbours and their distance in Å.
Atoms (fractional coordinates):
Cl: 0.9816 0.9816 0.0184  2 Sc 2.62
Cr: 0.6808 0.6808 0.3192  2 Sc 2.74
Sc: 0.3376 0.3376 0.6624  2 Cl 2.62, 2 Cr 2.74

***

| no. | total energy (eV for the cell shown) | Fermi-level density of states (states/eV/atom) |
| --- | --- | --- |
| 1 | -69.66 | 2.850 |
| 2 | -18.19 | 0.848 |
| 3 | -18.51 | 0.627 |